A plane-wave DFT calculation with GGA-PBE was carried out for a geometry-optimized Mn5IrW structure.

The structure in POSCAR format:
```
Mn5IrW
1.0
7.719 0.000 0.000
0.000 4.619 0.000
0.000 0.000 9.810
Mn Ir W
20 4 4
direct
0.050 0.250 0.086 Mn
0.072 0.509 0.312 Mn
0.072 0.991 0.312 Mn
0.091 0.750 0.524 Mn
0.192 0.750 0.751 Mn
0.308 0.250 0.251 Mn
0.409 0.250 0.024 Mn
0.428 0.009 0.812 Mn
0.428 0.491 0.812 Mn
0.450 0.750 0.586 Mn
0.550 0.250 0.414 Mn
0.572 0.509 0.188 Mn
0.572 0.991 0.188 Mn
0.591 0.750 0.976 Mn
0.692 0.750 0.749 Mn
0.808 0.250 0.249 Mn
0.909 0.250 0.476 Mn
0.928 0.009 0.688 Mn
0.928 0.491 0.688 Mn
0.950 0.750 0.914 Mn
0.132 0.250 0.851 Ir
0.368 0.750 0.351 Ir
0.632 0.250 0.649 Ir
0.868 0.750 0.149 Ir
0.250 0.250 0.562 W
0.250 0.750 0.062 W
0.750 0.250 0.938 W
0.750 0.750 0.438 W
```

Results
Spin magnetization ... 2.18 μB per formula unit
DFT total energy ... -269.72 eV per cell
E_form ... 0.0332 eV per atom



A plane-wave DFT calculation with GGA-PBE was carried out for a geometry-optimized Mn2IrW structure.

The structure in POSCAR format:
```
Mn2IrW
1.0
2.698 0.000 0.000
0.000 4.200 0.000
-0.828 0.000 4.966
Mn Ir W
2 1 1
direct
0.231 0.000 0.253 Mn
0.769 0.000 0.747 Mn
0.500 0.500 0.000 Ir
0.000 0.500 0.500 W
```

Results
Spin magnetization ... 5.15 μB per formula unit
DFT total energy ... -39.77 eV per cell
E_form ... 0.0951 eV per atom